A relaxed structure of Tb8Te3C3S, computed with PBE.

E_form (uncorrected) = -0.967 eV per atom
Total magnetization = 0.00 Bohr magnetons per cell
Uncorrected energy = -278.33 eV per cell
DOS(E_F) = 0.3959 states/eV per atom

Cell: 7.7528 7.7528 20.6631 Å, 90.00 90.00 120.00°
Last column: nearest neighbours and their distance in Å.
Space group R-3m (No. 166, hexagonal axes)
Asymmetric unit:
Tb 0.0000 0.0000 0.2300 x6  3 C 2.59
Tb 0.0269 0.5135 0.7663 x18  2 C 2.56, 1 S 2.79
Te 0.0000 0.5000 0.0000 x9  6 Tb 3.09-3.11
C 0.0000 0.5000 0.5000 x9  6 Tb 2.56-2.59
S 0.0000 0.0000 0.5000 x3  6 Tb 2.79